BaLi2WF8 | Alexandria | GGA+U | relaxed; crystal system = triclinic; E_tot = -5.38 eV/atom; space-group type = P-1
1.0
4.693 0.000 0.000
0.959 5.197 0.000
1.091 1.362 7.481
Ba Li W F
1 2 1 8
direct
0.000 0.000 0.000
0.466 0.446 0.204
0.534 0.554 0.796
0.000 0.000 0.500
0.165 0.754 0.723
0.195 0.773 0.321
0.306 0.226 0.436
0.415 0.281 0.001
0.585 0.719 0.999
0.694 0.774 0.564
0.805 0.227 0.679
0.835 0.246 0.277